[1]
Entry from Alexandria via LeMat-Bulk: a relaxed Y2MnCl crystal (PBE).

## Properties
ρ: 4.9 Mg/m³
Energy above the most stable polymorph in this dataset: 0.0 meV per atom
Space group: No. 123
Formation energy from raw total energies: -1.90 eV/f.u.
Fermi-level density of states: 2.9 states/eV/cell

abc: 3.354 3.354 8.112
angles: 90.00 90.00 89.95
Element x y z (fractional)
Cl1 0.500 0.500 0.250
Mn1 0.500 0.500 0.750
Y1 0.000 0.000 0.967
Y2 0.000 0.000 0.533

---

[2]
Entry from Alexandria via LeMat-Bulk: a relaxed CdNiBr crystal (PBE).

## Properties
ρ: 5.8 Mg/m³
Energy above the most stable polymorph in this dataset: 562.3 meV per atom
Space group: No. 216
Formation energy from raw total energies: 1.92 eV/f.u.
Fermi-level density of states: 4.5 states/eV/cell

abc: 4.669 4.669 4.669
angles: 60.00 60.00 60.00
Element x y z (fractional)
Br1 0.500 0.500 0.500
Cd1 0.750 0.750 0.750
Ni1 0.000 0.000 0.000

---

[3]
Entry from Alexandria via LeMat-Bulk: a relaxed Ba8Si2Ge crystal (PBE).

## Properties
ρ: 4.7 Mg/m³
Space group: No. 71
Formation energy from raw total energies: -1.48 eV/f.u.
Fermi-level density of states: 8.4 states/eV/cell

abc: 5.537 9.685 9.878
angles: 119.36 106.27 90.00
Element x y z (fractional)
Ba1 0.657 0.881 0.314
Ba2 0.343 0.567 0.686
Ba3 0.136 0.136 0.272
Ba4 0.000 0.332 0.000
Ba5 0.864 0.864 0.728
Ba6 0.657 0.433 0.314
Ba7 0.343 0.119 0.686
Ba8 0.000 0.668 0.000
Si1 0.193 0.693 0.387
Si2 0.807 0.307 0.613
Ge1 0.500 0.000 0.000

---

[4]
Entry from Alexandria via LeMat-Bulk: a relaxed UGeRh4 crystal (PBE).

## Properties
ρ: 12.2 Mg/m³
Energy above the most stable polymorph in this dataset: 0.0 meV per atom
Space group: No. 63
Fermi-level density of states: 8.7 states/eV/cell

abc: 3.993 5.685 8.900
angles: 90.00 102.96 90.00
Element x y z (fractional)
U1 0.414 0.250 0.828
U2 0.586 0.750 0.172
Ge1 0.718 0.250 0.436
Ge2 0.282 0.750 0.564
Rh1 0.000 0.000 0.000
Rh2 0.000 0.500 0.000
Rh3 0.167 0.999 0.334
Rh4 0.833 0.499 0.666
Rh5 0.167 0.501 0.334
Rh6 0.833 0.001 0.666
Rh7 0.577 0.250 0.153
Rh8 0.423 0.750 0.847

---

[5]
Entry from Alexandria via LeMat-Bulk: a relaxed ZnInHg crystal (PBE).

## Properties
ρ: 9.3 Mg/m³
Energy above the most stable polymorph in this dataset: 0.0 meV per atom
Space group: No. 1
Fermi-level density of states: 1.5 states/eV/cell

abc: 5.441 5.823 5.812
angles: 75.88 61.72 56.72
Element x y z (fractional)
Zn1 0.994 0.972 0.600
Zn2 0.505 0.975 0.578
In1 0.385 0.177 0.096
In2 0.888 0.480 0.797
Hg1 0.589 0.474 0.412
Hg2 0.094 0.797 0.091

---

[6]
Entry from Alexandria via LeMat-Bulk: a relaxed Ni2WAuS crystal (PBE).

## Properties
ρ: 9.2 Mg/m³
Space group: No. 123
Formation energy from raw total energies: 4.90 eV/f.u.
Fermi-level density of states: 4.1 states/eV/cell

abc: 4.648 4.451 4.648
angles: 90.00 90.00 90.00
Element x y z (fractional)
Ni1 0.000 0.000 0.500
Ni2 0.500 0.000 0.000
S1 0.000 0.500 0.000
Au1 0.500 0.500 0.500
W1 0.000 0.000 0.000

---

[7]
Entry from Alexandria via LeMat-Bulk: a relaxed HfTiZn crystal (PBE).

## Properties
ρ: 8.7 Mg/m³
Energy above the most stable polymorph in this dataset: 128.8 meV per atom
Space group: No. 156
Fermi-level density of states: 2.9 states/eV/cell

abc: 3.143 4.518 4.518
angles: 120.00 90.00 90.00
Element x y z (fractional)
Zn1 0.168 0.667 0.333
Hf1 0.666 0.333 0.667
Ti1 0.166 0.000 0.000

---

[8]
Entry from Alexandria via LeMat-Bulk: a relaxed BeNiSe2 crystal (PBE).

## Properties
ρ: 6.2 Mg/m³
Space group: No. 12
Formation energy from raw total energies: -0.57 eV/f.u.
Fermi-level density of states: 2.8 states/eV/cell

abc: 3.495 3.495 6.080
angles: 73.19 73.19 60.06
Element x y z (fractional)
Ni1 0.250 0.250 0.250
Se1 0.003 0.003 0.993
Se2 0.497 0.497 0.507
Be1 0.750 0.750 0.750

---

[9]
Entry from Alexandria via LeMat-Bulk: a relaxed AcHoZnAg crystal (PBE).

## Properties
ρ: 8.8 Mg/m³
Energy above the most stable polymorph in this dataset: 0.0 meV per atom
Space group: No. 99
Fermi-level density of states: 3.6 states/eV/cell

abc: 3.739 3.739 7.589
angles: 90.00 90.00 90.00
Element x y z (fractional)
Ac1 0.500 0.500 0.114
Ho1 0.500 0.500 0.604
Zn1 0.000 0.000 0.394
Ag1 0.000 0.000 0.816

---

[10]
Entry from Alexandria via LeMat-Bulk: a relaxed BaSc4O6 crystal (PBE).

## Properties
ρ: 4.8 Mg/m³
Space group: No. 63
Formation energy from raw total energies: -33.94 eV/f.u.
Fermi-level density of states: 8.5 states/eV/cell

abc: 3.238 5.564 16.523
angles: 90.00 90.00 106.92
Element x y z (fractional)
Ba1 0.655 0.310 0.250
Ba2 0.345 0.690 0.750
Sc1 0.863 0.727 0.541
Sc2 0.401 0.801 0.130
Sc3 0.137 0.273 0.459
Sc4 0.599 0.199 0.870
Sc5 0.863 0.727 0.959
Sc6 0.137 0.273 0.041
Sc7 0.599 0.199 0.630
Sc8 0.401 0.801 0.370
O1 0.500 0.000 0.000
O2 0.500 0.000 0.500
O3 0.028 0.057 0.355
O4 0.972 0.943 0.645
O5 0.972 0.943 0.855
O6 0.028 0.057 0.145
O7 0.771 0.542 0.417
O8 0.229 0.458 0.583
O9 0.229 0.458 0.917
O10 0.771 0.542 0.083
O11 0.351 0.702 0.250
O12 0.649 0.298 0.750

---

[11]
Entry from Alexandria via LeMat-Bulk: a relaxed CeZn5Cu7 crystal (PBE).

## Properties
ρ: 8.0 Mg/m³
Space group: No. 44
Raw total energy: -3.244 eV/atom
Fermi-level density of states: 11.0 states/eV/cell

abc: 4.954 6.657 6.657
angles: 82.49 68.15 68.15
Element x y z (fractional)
Ce1 0.994 0.006 0.006
Zn1 0.500 0.002 0.496
Zn2 0.002 0.002 0.496
Zn3 0.500 0.496 0.002
Zn4 0.002 0.496 0.002
Zn5 0.722 0.778 0.778
Cu1 0.642 0.358 0.358
Cu2 0.352 0.648 0.648
Cu3 0.002 0.354 0.642
Cu4 0.002 0.642 0.354
Cu5 0.279 0.221 0.221
Cu6 0.501 0.773 0.225
Cu7 0.501 0.225 0.773

---

[12]
Entry from Alexandria via LeMat-Bulk: a relaxed LiInPb2Br6 crystal (PBE).

## Properties
ρ: 4.8 Mg/m³
Space group: No. 146
Formation energy from raw total energies: -9.60 eV/f.u.
Fermi-level density of states: 0.0 states/eV/cell

abc: 7.642 7.644 8.236
angles: 62.33 62.34 59.98
Element x y z (fractional)
Li1 0.327 0.327 0.019
In1 0.811 0.811 0.568
Pb1 0.518 0.518 0.446
Pb2 0.006 0.006 0.983
Br1 0.579 0.243 0.236
Br2 0.242 0.942 0.236
Br3 0.943 0.579 0.236
Br4 0.385 0.711 0.763
Br5 0.711 0.140 0.764
Br6 0.141 0.385 0.764

---

Which of these has the lowest Fermi-level density of states?
LiInPb2Br6